Record 1
# CaSbTe2Br

An optimized crystal structure of CaSbTe2Br (PBE-GGA, the Alexandria database).

Lattice parameters (Å, degrees): 5.748 5.748 5.402 90.00 90.00 90.00
Fractional coordinates of all 5 atoms:
Ca: 0.000 0.000 0.000
Sb: 0.500 0.500 0.000
Te: 0.000 0.500 0.500
Te: 0.500 0.000 0.500
Br: 0.500 0.500 0.500

Space group: No. 123
Energy relative to the lowest polymorph listed for this composition: 0.000 eV per atom
Magnetic moment: 0.00 μB/cell
E_form (uncorrected): 0.176 eV per atom


Record 2
# CaSbTe2Br

An optimized crystal structure of CaSbTe2Br (PBE-GGA, the Alexandria database).

Lattice parameters (Å, degrees): 5.711 5.711 6.040 90.00 90.00 90.00
Fractional coordinates of all 5 atoms:
Ca: 0.000 0.000 0.000
Sb: 0.000 0.000 0.500
Te: 0.000 0.500 0.000
Te: 0.500 0.000 0.000
Br: 0.500 0.500 0.500

Space group: No. 123
Energy relative to the lowest polymorph listed for this composition: 0.059 eV per atom
Magnetic moment: 0.00 μB/cell
E_form (uncorrected): 0.235 eV per atom


Record 3
# Ca4SbTe2Br

An optimized crystal structure of Ca4SbTe2Br (PBE-GGA, the Alexandria database).

Lattice parameters (Å, degrees): 7.852 6.320 7.852 66.26 47.47 66.27
Fractional coordinates of all 8 atoms:
Ca: 0.001 0.501 0.999
Ca: 0.237 0.763 0.237
Ca: 0.501 0.001 0.499
Ca: 0.763 0.237 0.763
Sb: 0.001 0.001 0.999
Te: 0.250 0.250 0.250
Te: 0.750 0.750 0.750
Br: 0.501 0.501 0.499

Space group: No. 42
Magnetic moment: 0.00 μB/cell
E_form (uncorrected): -1.527 eV per atom


Record 4
# CaSb2TeBr

An optimized crystal structure of CaSb2TeBr (PBE-GGA, the Alexandria database).

Lattice parameters (Å, degrees): 5.483 5.483 5.827 90.00 90.00 90.00
Fractional coordinates of all 5 atoms:
Ca: 0.000 0.000 0.000
Sb: 0.000 0.500 0.500
Sb: 0.500 0.000 0.500
Te: 0.500 0.500 0.000
Br: 0.500 0.500 0.500

Space group: No. 123
Energy relative to the lowest polymorph listed for this composition: 0.000 eV per atom
Magnetic moment: 0.00 μB/cell
E_form (uncorrected): 0.252 eV per atom


Record 5
# CaSb2TeBr

An optimized crystal structure of CaSb2TeBr (PBE-GGA, the Alexandria database).

Lattice parameters (Å, degrees): 5.877 5.877 5.640 90.00 90.00 90.00
Fractional coordinates of all 5 atoms:
Ca: 0.000 0.000 0.000
Sb: 0.000 0.500 0.000
Sb: 0.500 0.000 0.000
Te: 0.000 0.000 0.500
Br: 0.500 0.500 0.500

Space group: No. 123
Energy relative to the lowest polymorph listed for this composition: 0.121 eV per atom
Magnetic moment: 0.00 μB/cell
E_form (uncorrected): 0.373 eV per atom


Record 6
# Ca2TlSbBr8

An optimized crystal structure of Ca2TlSbBr8 (PBE-GGA, the Alexandria database).

Lattice parameters (Å, degrees): 6.745 9.070 7.077 90.00 90.23 90.00
Fractional coordinates of all 12 atoms:
Ca: 0.000 0.247 0.000
Ca: 0.000 0.753 0.000
Tl: 0.500 0.000 0.500
Sb: 0.500 0.500 0.500
Br: 0.229 0.000 0.871
Br: 0.247 0.500 0.835
Br: 0.251 0.284 0.340
Br: 0.251 0.716 0.340
Br: 0.749 0.284 0.660
Br: 0.749 0.716 0.660
Br: 0.753 0.500 0.165
Br: 0.771 0.000 0.129

Space group: No. 10
Magnetic moment: 0.00 μB/cell
E_form (uncorrected): -1.311 eV per atom


Record 7
# CaTlSbBr6

An optimized crystal structure of CaTlSbBr6 (PBE-GGA, the Alexandria database).

Lattice parameters (Å, degrees): 7.436 7.436 7.285 90.00 90.00 120.00
Fractional coordinates of all 9 atoms:
Ca: 0.000 0.000 0.000
Tl: 0.667 0.333 0.500
Sb: 0.333 0.667 0.000
Br: 0.036 0.342 0.225
Br: 0.036 0.694 0.775
Br: 0.306 0.342 0.775
Br: 0.306 0.964 0.225
Br: 0.658 0.694 0.225
Br: 0.658 0.964 0.775

Space group: No. 149
Magnetic moment: 0.00 μB/cell
E_form (uncorrected): -1.152 eV per atom


Record 8
# Ca2TlSbBr

An optimized crystal structure of Ca2TlSbBr (PBE-GGA, the Alexandria database).

Lattice parameters (Å, degrees): 5.902 5.902 6.552 90.00 90.00 90.00
Fractional coordinates of all 5 atoms:
Ca: 0.000 0.500 0.000
Ca: 0.500 0.000 0.000
Tl: 0.000 0.000 0.500
Sb: 0.000 0.000 0.000
Br: 0.500 0.500 0.500

Space group: No. 123
Magnetic moment: 0.59 μB/cell
E_form (uncorrected): -0.415 eV per atom


Record 9
# CaSbWBr2

An optimized crystal structure of CaSbWBr2 (PBE-GGA, the Alexandria database).

Lattice parameters (Å, degrees): 5.199 5.199 5.506 90.00 90.00 90.00
Fractional coordinates of all 5 atoms:
Ca: 0.000 0.000 0.000
Sb: 0.500 0.500 0.000
W: 0.500 0.500 0.500
Br: 0.000 0.500 0.500
Br: 0.500 0.000 0.500

Space group: No. 123
Magnetic moment: 2.56 μB/cell
E_form (uncorrected): 0.064 eV per atom


Record 10
# CaYSbBr2

An optimized crystal structure of CaYSbBr2 (PBE-GGA, the Alexandria database).

Lattice parameters (Å, degrees): 5.794 5.794 6.105 90.00 90.00 90.00
Fractional coordinates of all 5 atoms:
Ca: 0.000 0.000 0.000
Y: 0.500 0.500 0.000
Sb: 0.000 0.000 0.500
Br: 0.000 0.500 0.500
Br: 0.500 0.000 0.500

Space group: No. 123
Magnetic moment: 1.25 μB/cell
E_form (uncorrected): 0.067 eV per atom


Record 11
# Ca2ZrSbBr

An optimized crystal structure of Ca2ZrSbBr (PBE-GGA, the Alexandria database).

Lattice parameters (Å, degrees): 5.303 5.303 5.962 90.00 90.00 90.00
Fractional coordinates of all 5 atoms:
Ca: 0.000 0.500 0.000
Ca: 0.500 0.000 0.000
Zr: 0.000 0.000 0.500
Sb: 0.500 0.500 0.500
Br: 0.500 0.500 0.000

Space group: No. 123
Magnetic moment: 2.78 μB/cell
E_form (uncorrected): 0.160 eV per atom


Record 12
# CaZrSb2Br

An optimized crystal structure of CaZrSb2Br (PBE-GGA, the Alexandria database).

Lattice parameters (Å, degrees): 5.564 5.564 5.607 90.00 90.00 90.00
Fractional coordinates of all 5 atoms:
Ca: 0.000 0.000 0.000
Zr: 0.000 0.000 0.500
Sb: 0.000 0.500 0.000
Sb: 0.500 0.000 0.000
Br: 0.500 0.500 0.500

Space group: No. 123
Magnetic moment: 0.00 μB/cell
E_form (uncorrected): 0.852 eV per atom


magnetic moment of number 12 (CaZrSb2Br)?
0.00 μB/cell